Entry 1:
The following is a DFT calculation (PBE) of crystalline TiSb2TeAu at its relaxed geometry.

Cell: 5.251 5.251 5.190 Å, 90.00 90.00 90.00°
Fractional positions:
Ti 0.000 0.000 0.000
Sb 0.000 0.500 0.000
Sb 0.500 0.000 0.000
Te 0.000 0.000 0.500
Au 0.500 0.500 0.500

Values from the calculation:
Total moment, μB per formula unit: 0.000
Formation energy from raw total energies, eV/atom: 0.283
Polymorph energy (0 for the lowest one), kJ/mol of formula units: 0
Space-group type: P4/mmm
Density of states at the Fermi level, states/eV per cell: 3.8
Raw total energy, Ry/atom: -0.311

***

Entry 2:
The following is a DFT calculation (PBE) of crystalline TiSbTe2Au at its relaxed geometry.

Cell: 5.239 5.239 5.301 Å, 90.00 90.00 90.00°
Fractional positions:
Ti 0.000 0.000 0.000
Sb 0.000 0.000 0.500
Te 0.000 0.500 0.000
Te 0.500 0.000 0.000
Au 0.500 0.500 0.500

Values from the calculation:
Total moment, μB per formula unit: 0.000
Formation energy from raw total energies, eV/atom: 0.249
Polymorph energy (0 for the lowest one), kJ/mol of formula units: 0
Space-group type: P4/mmm
Density of states at the Fermi level, states/eV per cell: 5.6
Raw total energy, Ry/atom: -0.299

***

Entry 3:
The following is a DFT calculation (PBE) of crystalline TiSb2TeAu at its relaxed geometry.

Cell: 5.320 5.320 5.496 Å, 90.00 90.00 90.00°
Fractional positions:
Ti 0.000 0.000 0.000
Sb 0.000 0.500 0.500
Sb 0.500 0.000 0.500
Te 0.500 0.500 0.000
Au 0.500 0.500 0.500

Values from the calculation:
Total moment, μB per formula unit: 1.894
Formation energy from raw total energies, eV/atom: 0.764
Polymorph energy (0 for the lowest one), kJ/mol of formula units: 232
Space-group type: P4/mmm
Density of states at the Fermi level, states/eV per cell: 6.5
Raw total energy, Ry/atom: -0.275

***

Entry 4:
The following is a DFT calculation (PBE) of crystalline TlSb2TeAu at its relaxed geometry.

Cell: 5.439 5.439 5.696 Å, 90.00 90.00 90.00°
Fractional positions:
Tl 0.000 0.000 0.000
Sb 0.000 0.500 0.500
Sb 0.500 0.000 0.500
Te 0.500 0.500 0.000
Au 0.500 0.500 0.500

Values from the calculation:
Total moment, μB per formula unit: 0.000
Formation energy from raw total energies, eV/atom: 0.351
Polymorph energy (0 for the lowest one), kJ/mol of formula units: 0
Space-group type: P4/mmm
Density of states at the Fermi level, states/eV per cell: 4.1
Raw total energy, Ry/atom: -0.225

***

Entry 5:
The following is a DFT calculation (PBE) of crystalline Tl2SbTe4Au at its relaxed geometry.

Cell: 7.044 7.044 7.044 Å, 103.37 103.37 122.53°
Fractional positions:
Tl 0.000 0.500 0.500
Tl 0.500 0.000 0.500
Sb 0.000 0.000 0.000
Te 0.069 0.439 0.000
Te 0.439 0.069 0.000
Te 0.561 0.561 0.629
Te 0.931 0.931 0.371
Au 0.500 0.500 0.000

Values from the calculation:
Total moment, μB per formula unit: 0.000
Formation energy from raw total energies, eV/atom: -0.088
Space-group type: I-42m
Density of states at the Fermi level, states/eV per cell: 3.0
Raw total energy, Ry/atom: -0.233

***

Entry 6:
The following is a DFT calculation (PBE) of crystalline TlSb2Te4Au at its relaxed geometry.

Cell: 6.908 6.908 6.908 Å, 119.43 106.20 103.28°
Fractional positions:
Tl 0.000 0.000 0.000
Sb 0.500 0.215 0.715
Sb 0.500 0.785 0.285
Te 0.011 0.145 0.579
Te 0.434 0.855 0.867
Te 0.566 0.433 0.421
Te 0.989 0.567 0.133
Au 0.000 0.500 0.500

Values from the calculation:
Total moment, μB per formula unit: 0.000
Formation energy from raw total energies, eV/atom: -0.018
Space-group type: I222
Density of states at the Fermi level, states/eV per cell: 4.9
Raw total energy, Ry/atom: -0.244

***

Entry 7:
The following is a DFT calculation (PBE) of crystalline TlSbTe2Au at its relaxed geometry.

Cell: 7.911 4.960 8.645 Å, 90.00 95.65 90.00°
Fractional positions:
Tl 0.000 0.125 0.250
Tl 0.000 0.875 0.750
Sb 0.500 0.396 0.250
Sb 0.500 0.604 0.750
Te 0.235 0.336 0.963
Te 0.235 0.664 0.463
Te 0.765 0.336 0.537
Te 0.765 0.664 0.037
Au 0.500 0.000 0.000
Au 0.500 0.000 0.500

Values from the calculation:
Total moment, μB per formula unit: 0.000
Formation energy from raw total energies, eV/atom: -0.055
Polymorph energy (0 for the lowest one), kJ/mol of formula units: 0
Space-group type: P2/c
Density of states at the Fermi level, states/eV per cell: 3.8
Raw total energy, Ry/atom: -0.240

***

Entry 8:
The following is a DFT calculation (PBE) of crystalline Tl3Sb2Te6Au at its relaxed geometry.

Cell: 7.630 7.630 8.097 Å, 99.24 99.24 119.60°
Fractional positions:
Tl 0.000 0.000 0.000
Tl 0.320 0.680 0.000
Tl 0.680 0.320 0.000
Sb 0.163 0.837 0.500
Sb 0.837 0.163 0.500
Te 0.116 0.430 0.288
Te 0.252 0.252 0.730
Te 0.430 0.116 0.288
Te 0.570 0.884 0.712
Te 0.748 0.748 0.270
Te 0.884 0.570 0.712
Au 0.500 0.500 0.500

Values from the calculation:
Total moment, μB per formula unit: 0.000
Formation energy from raw total energies, eV/atom: -0.153
Space-group type: C2/m
Density of states at the Fermi level, states/eV per cell: 6.0
Raw total energy, Ry/atom: -0.241

***

Entry 9:
The following is a DFT calculation (PBE) of crystalline TlSbTe2Au at its relaxed geometry.

Cell: 5.695 5.695 5.263 Å, 90.00 90.00 90.00°
Fractional positions:
Tl 0.000 0.000 0.000
Sb 0.500 0.500 0.000
Te 0.000 0.500 0.500
Te 0.500 0.000 0.500
Au 0.500 0.500 0.500

Values from the calculation:
Total moment, μB per formula unit: 0.000
Formation energy from raw total energies, eV/atom: 0.257
Polymorph energy (0 for the lowest one), kJ/mol of formula units: 150
Space-group type: P4/mmm
Density of states at the Fermi level, states/eV per cell: 3.8
Raw total energy, Ry/atom: -0.217

***

Entry 10:
The following is a DFT calculation (PBE) of crystalline TlSbTe2Au at its relaxed geometry.

Cell: 5.756 5.756 5.679 Å, 90.00 90.00 90.00°
Fractional positions:
Tl 0.000 0.000 0.000
Sb 0.000 0.000 0.500
Te 0.000 0.500 0.000
Te 0.500 0.000 0.000
Au 0.500 0.500 0.500

Values from the calculation:
Total moment, μB per formula unit: 0.096
Formation energy from raw total energies, eV/atom: 1.024
Polymorph energy (0 for the lowest one), kJ/mol of formula units: 520
Space-group type: P4/mmm
Density of states at the Fermi level, states/eV per cell: 7.3
Raw total energy, Ry/atom: -0.161

***

Entry 11:
The following is a DFT calculation (PBE) of crystalline TlSb2TeAu at its relaxed geometry.

Cell: 5.687 5.687 5.724 Å, 90.00 90.00 90.00°
Fractional positions:
Tl 0.000 0.000 0.000
Sb 0.000 0.500 0.000
Sb 0.500 0.000 0.000
Te 0.000 0.000 0.500
Au 0.500 0.500 0.500

Values from the calculation:
Total moment, μB per formula unit: 0.000
Formation energy from raw total energies, eV/atom: 1.091
Polymorph energy (0 for the lowest one), kJ/mol of formula units: 357
Space-group type: P4/mmm
Density of states at the Fermi level, states/eV per cell: 5.9
Raw total energy, Ry/atom: -0.170

***

Entry 12:
The following is a DFT calculation (PBE) of crystalline VSbTe2Au at its relaxed geometry.

Cell: 5.086 5.086 5.203 Å, 90.00 90.00 90.00°
Fractional positions:
V 0.000 0.000 0.000
Sb 0.000 0.000 0.500
Te 0.000 0.500 0.000
Te 0.500 0.000 0.000
Au 0.500 0.500 0.500

Values from the calculation:
Total moment, μB per formula unit: 0.000
Formation energy from raw total energies, eV/atom: 0.397
Polymorph energy (0 for the lowest one), kJ/mol of formula units: 0
Space-group type: P4/mmm
Density of states at the Fermi level, states/eV per cell: 4.7
Raw total energy, Ry/atom: -0.306

***

Entry 13:
The following is a DFT calculation (PBE) of crystalline VSb2TeAu at its relaxed geometry.

Cell: 5.316 5.316 5.428 Å, 90.00 90.00 90.00°
Fractional positions:
V 0.000 0.000 0.000
Sb 0.000 0.500 0.500
Sb 0.500 0.000 0.500
Te 0.500 0.500 0.000
Au 0.500 0.500 0.500

Values from the calculation:
Total moment, μB per formula unit: 0.283
Formation energy from raw total energies, eV/atom: 1.160
Polymorph energy (0 for the lowest one), kJ/mol of formula units: 372
Space-group type: P4/mmm
Density of states at the Fermi level, states/eV per cell: 7.7
Raw total energy, Ry/atom: -0.264